#one
# PBE K2LiCeF6, optimized geometry
# Symmetry: Fm-3m (225)
data_K2LiCeF6
_symmetry_space_group_name_H-M 'P 1'
_symmetry_Int_Tables_number 1
_cell_length_a 6.179
_cell_length_b 6.179
_cell_length_c 6.179
_cell_angle_alpha 60.00
_cell_angle_beta 60.00
_cell_angle_gamma 60.00
loop_
_symmetry_equiv_pos_as_xyz
'x,y,z'
loop_
_atom_site_label
_atom_site_type_symbol
_atom_site_fract_x
_atom_site_fract_y
_atom_site_fract_z
K1 K 0.250 0.250 0.250
K2 K 0.750 0.750 0.750
Li1 Li 0.000 0.000 0.000
Ce1 Ce 0.500 0.500 0.500
F1 F 0.239 0.239 0.761
F2 F 0.239 0.761 0.239
F3 F 0.239 0.761 0.761
F4 F 0.761 0.239 0.239
F5 F 0.761 0.239 0.761
F6 F 0.761 0.761 0.239



#two
# PBE K2LiCeF6, optimized geometry
# DOS(E_F), states/eV per cell: 1.1
# Symmetry: P2_1/c (14)
data_K2LiCeF6
_symmetry_space_group_name_H-M 'P 1'
_symmetry_Int_Tables_number 1
_cell_length_a 6.134
_cell_length_b 6.191
_cell_length_c 10.601
_cell_angle_alpha 90.00
_cell_angle_beta 124.88
_cell_angle_gamma 90.00
loop_
_symmetry_equiv_pos_as_xyz
'x,y,z'
loop_
_atom_site_label
_atom_site_type_symbol
_atom_site_fract_x
_atom_site_fract_y
_atom_site_fract_z
K1 K 0.241 0.034 0.249
K2 K 0.241 0.466 0.749
K3 K 0.759 0.534 0.251
K4 K 0.759 0.966 0.751
Li1 Li 0.000 0.000 0.500
Li2 Li 0.000 0.500 0.000
Ce1 Ce 0.500 0.000 0.000
Ce2 Ce 0.500 0.500 0.500
F1 F 0.166 0.220 0.964
F2 F 0.166 0.280 0.464
F3 F 0.244 0.704 0.964
F4 F 0.244 0.796 0.464
F5 F 0.310 0.019 0.740
F6 F 0.310 0.481 0.240
F7 F 0.690 0.519 0.760
F8 F 0.690 0.981 0.260
F9 F 0.756 0.204 0.536
F10 F 0.756 0.296 0.036
F11 F 0.834 0.720 0.536
F12 F 0.834 0.780 0.036



What should be chosen as the least stable of them? Choose #one.



#one
# PBE Li3CeF8, optimized geometry
# DOS(E_F), states/eV per cell: 10.2
# Symmetry: Pm-3m (221)
data_Li3CeF8
_symmetry_space_group_name_H-M 'P 1'
_symmetry_Int_Tables_number 1
_cell_length_a 5.228
_cell_length_b 5.228
_cell_length_c 5.228
_cell_angle_alpha 90.00
_cell_angle_beta 90.00
_cell_angle_gamma 90.00
loop_
_symmetry_equiv_pos_as_xyz
'x,y,z'
loop_
_atom_site_label
_atom_site_type_symbol
_atom_site_fract_x
_atom_site_fract_y
_atom_site_fract_z
Li1 Li 0.000 0.000 0.500
Li2 Li 0.000 0.500 0.000
Li3 Li 0.500 0.000 0.000
Ce1 Ce 0.500 0.500 0.500
F1 F 0.250 0.250 0.250
F2 F 0.250 0.250 0.750
F3 F 0.250 0.750 0.250
F4 F 0.250 0.750 0.750
F5 F 0.750 0.250 0.250
F6 F 0.750 0.250 0.750
F7 F 0.750 0.750 0.250
F8 F 0.750 0.750 0.750



#two
# PBE Li3CeF8, optimized geometry
# DOS(E_F), states/eV per cell: 5.8
# Symmetry: P-31m (162)
data_Li3CeF8
_symmetry_space_group_name_H-M 'P 1'
_symmetry_Int_Tables_number 1
_cell_length_a 4.819
_cell_length_b 4.819
_cell_length_c 6.027
_cell_angle_alpha 90.00
_cell_angle_beta 90.00
_cell_angle_gamma 120.00
loop_
_symmetry_equiv_pos_as_xyz
'x,y,z'
loop_
_atom_site_label
_atom_site_type_symbol
_atom_site_fract_x
_atom_site_fract_y
_atom_site_fract_z
Li1 Li 0.000 0.000 0.000
Li2 Li 0.333 0.667 0.000
Li3 Li 0.667 0.333 0.000
Ce1 Ce 0.000 0.000 0.500
F1 F 0.000 0.306 0.806
F2 F 0.000 0.694 0.194
F3 F 0.306 0.000 0.806
F4 F 0.306 0.306 0.194
F5 F 0.333 0.667 0.500
F6 F 0.667 0.333 0.500
F7 F 0.694 0.000 0.194
F8 F 0.694 0.694 0.806



What should be chosen as the least stable of them? Choose #two.